This record from the Open Quantum Materials Database describes Re3Ge5Au after structural relaxation. The functional is PBE.

Properties
raw total energy	-6.6938	eV/atom

Geometry as CIF:
```
data_Re3Ge5Au
_space_group_name_H-M_alt 'P 6/m m m'
_space_group_IT_number 191
_space_group_name_Hall '-P 6 2'
_cell_length_a 5.1756
_cell_length_b 5.1756
_cell_length_c 7.4732
_cell_angle_alpha 90.00
_cell_angle_beta 90.00
_cell_angle_gamma 120.00
loop_
_atom_site_label
_atom_site_type_symbol
_atom_site_fract_x
_atom_site_fract_y
_atom_site_fract_z
Re1 Re 0.0000 0.5000 0.0000
Ge1 Ge 0.0000 0.0000 0.0000
Ge2 Ge 0.3333 0.6667 0.3075
Au1 Au 0.0000 0.0000 0.5000
```

---

This record from the Open Quantum Materials Database describes ScGeAuS3 after structural relaxation. The functional is PBE.

Properties
distance to the lowest polymorph of the same formula	0	meV/atom
raw total energy	-5.2866	eV/atom

Geometry as CIF:
```
data_ScGeAuS3
_space_group_name_H-M_alt 'C m c m'
_space_group_IT_number 63
_space_group_name_Hall '-C 2c 2'
_cell_length_a 3.744
_cell_length_b 13.644
_cell_length_c 9.930
_cell_angle_alpha 90.00
_cell_angle_beta 90.00
_cell_angle_gamma 90.00
loop_
_atom_site_label
_atom_site_type_symbol
_atom_site_fract_x
_atom_site_fract_y
_atom_site_fract_z
Sc1 Sc 0.000 0.000 0.000
Ge1 Ge 0.000 0.319 0.250
Au1 Au 0.000 0.338 0.750
S1 S 0.000 0.057 0.750
S2 S 0.000 0.369 0.517
```

---

This record from the Open Quantum Materials Database describes ScGeAuS3 after structural relaxation. The functional is PBE.

Properties
distance to the lowest polymorph of the same formula	32	meV/atom
raw total energy	-5.2543	eV/atom

Geometry as CIF:
```
data_ScGeAuS3
_space_group_name_H-M_alt 'P n m a'
_space_group_IT_number 62
_space_group_name_Hall '-P 2ac 2n'
_cell_length_a 11.339
_cell_length_b 3.688
_cell_length_c 12.103
_cell_angle_alpha 90.00
_cell_angle_beta 90.00
_cell_angle_gamma 90.00
loop_
_atom_site_label
_atom_site_type_symbol
_atom_site_fract_x
_atom_site_fract_y
_atom_site_fract_z
Sc1 Sc 0.018 0.250 0.149
Ge1 Ge 0.170 0.250 0.585
Au1 Au 0.190 0.750 0.402
S1 S 0.010 0.750 0.304
S2 S 0.105 0.250 0.948
S3 S 0.243 0.250 0.195
```

---

This record from the Open Quantum Materials Database describes ScGeAuSe2S after structural relaxation. The functional is PBE.

Properties
raw total energy	-4.9954	eV/atom

Geometry as CIF:
```
data_ScGeAuSe2S
_space_group_name_H-M_alt 'C m c m'
_space_group_IT_number 63
_space_group_name_Hall '-C 2c 2'
_cell_length_a 3.862
_cell_length_b 13.947
_cell_length_c 10.257
_cell_angle_alpha 90.00
_cell_angle_beta 90.00
_cell_angle_gamma 90.00
loop_
_atom_site_label
_atom_site_type_symbol
_atom_site_fract_x
_atom_site_fract_y
_atom_site_fract_z
Sc1 Sc 0.000 0.000 0.000
Ge1 Ge 0.000 0.324 0.250
Au1 Au 0.000 0.325 0.750
Se1 Se 0.000 0.365 0.516
S1 S 0.000 0.054 0.750
```